Computed, not measured: SrCoO2 after structural relaxation at the PBE with a Hubbard U level of DFT.

For the total energy, the calculation gives -5.94 eV/atom. As for the density of states at the Fermi level: 0.00 states/eV per cell. The calculation puts the density at 4528 kg/m3.

The space group is I-42d (No. 122) and the conventional cell measures 5.1294, 5.1294 and 9.9559 Å, with angles of 90.00, 90.00 and 90.00 degrees. Symmetry generates all atoms from Sr at (0.0000, 0.0000, 0.0000), Co at (0.0000, 0.0000, 0.5000) and O at (0.1839, 0.2500, 0.6250).